# BaTc2, optimized geometry, DFT GGA-PBE
# space group	P6_3/mmc
# energy of formation from the pure elements	1673.0	meV/atom
data_BaTc2
_chemical_formula_sum 'Ba2 Tc4'
_symmetry_space_group_name_H-M 'P 1'
_symmetry_Int_Tables_number 1
_cell_length_a 5.102
_cell_length_b 5.102
_cell_length_c 5.509
_cell_angle_alpha 90.00
_cell_angle_beta 90.00
_cell_angle_gamma 120.00
loop_
_symmetry_equiv_pos_as_xyz
'x,y,z'
loop_
_atom_site_label
_atom_site_type_symbol
_atom_site_fract_x
_atom_site_fract_y
_atom_site_fract_z
Ba1 Ba 0.333 0.667 0.250
Ba2 Ba 0.667 0.333 0.750
Tc1 Tc 0.000 0.000 0.000
Tc2 Tc 0.000 0.000 0.500
Tc3 Tc 0.333 0.667 0.750
Tc4 Tc 0.667 0.333 0.250